Entry 1:
# Cu2BiB | OQMD | PBE | relaxed
data_Cu2BiB
_symmetry_space_group_name_H-M 'P 1'
_symmetry_Int_Tables_number 1
_cell_length_a 6.3069
_cell_length_b 6.3069
_cell_length_c 6.3069
_cell_angle_alpha 90.00
_cell_angle_beta 90.00
_cell_angle_gamma 90.00
loop_
_symmetry_equiv_pos_as_xyz
'x,y,z'
loop_
_atom_site_label
_atom_site_fract_x
_atom_site_fract_y
_atom_site_fract_z
Cu1 0.3041 0.6959 0.6959
Cu2 0.6959 0.6959 0.6959
Cu3 0.3041 0.3041 0.6959
Cu4 0.6959 0.3041 0.6959
Cu5 0.3041 0.3041 0.3041
Cu6 0.6959 0.3041 0.3041
Cu7 0.3041 0.6959 0.3041
Cu8 0.6959 0.6959 0.3041
B1 0.0000 0.5000 0.5000
B2 0.5000 0.5000 0.0000
B3 0.5000 0.5000 0.5000
B4 0.5000 0.0000 0.5000
Bi1 0.5000 0.0000 0.0000
Bi2 0.0000 0.0000 0.5000
Bi3 0.0000 0.5000 0.0000
Bi4 0.0000 0.0000 0.0000
# E_tot, eV per formula unit: -15.226

***

Entry 2:
# CuBiB4 | OQMD | PBE | relaxed
data_CuBiB4
_symmetry_space_group_name_H-M 'P 1'
_symmetry_Int_Tables_number 1
_cell_length_a 5.2280
_cell_length_b 5.2280
_cell_length_c 5.2280
_cell_angle_alpha 145.76
_cell_angle_beta 119.15
_cell_angle_gamma 71.71
loop_
_symmetry_equiv_pos_as_xyz
'x,y,z'
loop_
_atom_site_label
_atom_site_fract_x
_atom_site_fract_y
_atom_site_fract_z
B1 0.9073 0.2416 0.6657
B2 0.4241 0.7584 0.6657
B3 0.5759 0.2416 0.3343
B4 0.0927 0.7584 0.3343
Cu1 0.5000 0.5000 0.0000
Bi1 0.0000 0.0000 0.0000
# E_tot, eV per formula unit: -30.490
# Excess energy over the best structure of this formula in the dataset, eV per atom: 0.0968

***

Entry 3:
# CuBiB4 | OQMD | PBE | relaxed
data_CuBiB4
_symmetry_space_group_name_H-M 'P 1'
_symmetry_Int_Tables_number 1
_cell_length_a 3.0920
_cell_length_b 3.0920
_cell_length_c 8.1542
_cell_angle_alpha 90.00
_cell_angle_beta 90.00
_cell_angle_gamma 120.00
loop_
_symmetry_equiv_pos_as_xyz
'x,y,z'
loop_
_atom_site_label
_atom_site_fract_x
_atom_site_fract_y
_atom_site_fract_z
Cu1 0.0000 0.0000 0.0000
B1 0.6667 0.3333 0.1928
B2 0.6667 0.3333 0.8072
B3 0.3333 0.6667 0.1928
B4 0.3333 0.6667 0.8072
Bi1 0.0000 0.0000 0.5000
# E_tot, eV per formula unit: -31.071
# Excess energy over the best structure of this formula in the dataset, eV per atom: 0.0000

***

Entry 4:
# CuBiB | OQMD | PBE | relaxed
data_CuBiB
_symmetry_space_group_name_H-M 'P 1'
_symmetry_Int_Tables_number 1
_cell_length_a 4.3583
_cell_length_b 4.3583
_cell_length_c 4.3583
_cell_angle_alpha 60.00
_cell_angle_beta 60.00
_cell_angle_gamma 60.00
loop_
_symmetry_equiv_pos_as_xyz
'x,y,z'
loop_
_atom_site_label
_atom_site_fract_x
_atom_site_fract_y
_atom_site_fract_z
B1 0.2500 0.2500 0.2500
Cu1 0.7500 0.7500 0.7500
Bi1 0.0000 0.0000 0.0000
# E_tot, eV per formula unit: -10.544
# Excess energy over the best structure of this formula in the dataset, eV per atom: 0.3610

***

Entry 5:
# Cu2BiB | OQMD | PBE | relaxed
data_Cu2BiB
_symmetry_space_group_name_H-M 'P 1'
_symmetry_Int_Tables_number 1
_cell_length_a 6.3070
_cell_length_b 6.3070
_cell_length_c 6.3070
_cell_angle_alpha 90.00
_cell_angle_beta 90.00
_cell_angle_gamma 90.00
loop_
_symmetry_equiv_pos_as_xyz
'x,y,z'
loop_
_atom_site_label
_atom_site_fract_x
_atom_site_fract_y
_atom_site_fract_z
Cu1 0.8041 0.8041 0.8041
Cu2 0.1959 0.1959 0.8041
Cu3 0.8041 0.1959 0.8041
Cu4 0.1959 0.8041 0.8041
Cu5 0.8041 0.1959 0.1959
Cu6 0.8041 0.8041 0.1959
Cu7 0.1959 0.1959 0.1959
Cu8 0.1959 0.8041 0.1959
B1 0.0000 0.0000 0.0000
B2 0.0000 0.5000 0.0000
B3 0.0000 0.0000 0.5000
B4 0.5000 0.0000 0.0000
Bi1 0.0000 0.5000 0.5000
Bi2 0.5000 0.5000 0.5000
Bi3 0.5000 0.5000 0.0000
Bi4 0.5000 0.0000 0.5000
# E_tot, eV per formula unit: -15.226

***

Entry 6:
# CuBiBIr | OQMD | PBE | relaxed
data_CuBiBIr
_symmetry_space_group_name_H-M 'P 1'
_symmetry_Int_Tables_number 1
_cell_length_a 4.4489
_cell_length_b 4.4489
_cell_length_c 4.4489
_cell_angle_alpha 60.00
_cell_angle_beta 60.00
_cell_angle_gamma 60.00
loop_
_symmetry_equiv_pos_as_xyz
'x,y,z'
loop_
_atom_site_label
_atom_site_fract_x
_atom_site_fract_y
_atom_site_fract_z
Cu1 0.7500 0.7500 0.7500
Bi1 0.5000 0.5000 0.5000
B1 0.0000 0.0000 0.0000
Ir1 0.2500 0.2500 0.2500
# Magnetic moment, μB/atom: 0.001
# E_tot, eV per formula unit: -19.209
# Excess energy over the best structure of this formula in the dataset, eV per atom: 0.0440

***

Entry 7:
# CuBiBIr | OQMD | PBE | relaxed
data_CuBiBIr
_symmetry_space_group_name_H-M 'P 1'
_symmetry_Int_Tables_number 1
_cell_length_a 4.4242
_cell_length_b 4.4242
_cell_length_c 4.4242
_cell_angle_alpha 60.00
_cell_angle_beta 60.00
_cell_angle_gamma 60.00
loop_
_symmetry_equiv_pos_as_xyz
'x,y,z'
loop_
_atom_site_label
_atom_site_fract_x
_atom_site_fract_y
_atom_site_fract_z
B1 0.2500 0.2500 0.2500
Ir1 0.0000 0.0000 0.0000
Cu1 0.7500 0.7500 0.7500
Bi1 0.5000 0.5000 0.5000
# Magnetic moment, μB/atom: 0.001
# E_tot, eV per formula unit: -19.385
# Excess energy over the best structure of this formula in the dataset, eV per atom: 0.0000

***

Entry 8:
# ErBiB4 | OQMD | PBE | relaxed
data_ErBiB4
_symmetry_space_group_name_H-M 'P 1'
_symmetry_Int_Tables_number 1
_cell_length_a 5.3499
_cell_length_b 5.3499
_cell_length_c 5.3499
_cell_angle_alpha 145.16
_cell_angle_beta 119.82
_cell_angle_gamma 71.46
loop_
_symmetry_equiv_pos_as_xyz
'x,y,z'
loop_
_atom_site_label
_atom_site_fract_x
_atom_site_fract_y
_atom_site_fract_z
Bi1 0.0000 0.0000 0.0000
B1 0.4340 0.7601 0.6740
B2 0.0861 0.7601 0.3261
B3 0.9139 0.2399 0.6740
B4 0.5660 0.2399 0.3260
Er1 0.5000 0.5000 0.0000
# Magnetic moment, μB/atom: 0.000
# E_tot, eV per formula unit: -34.768
# Excess energy over the best structure of this formula in the dataset, eV per atom: 0.0222

***

Entry 9:
# ErBiB | OQMD | PBE | relaxed
data_ErBiB
_symmetry_space_group_name_H-M 'P 1'
_symmetry_Int_Tables_number 1
_cell_length_a 4.5621
_cell_length_b 4.5621
_cell_length_c 4.5621
_cell_angle_alpha 60.00
_cell_angle_beta 60.00
_cell_angle_gamma 60.00
loop_
_symmetry_equiv_pos_as_xyz
'x,y,z'
loop_
_atom_site_label
_atom_site_fract_x
_atom_site_fract_y
_atom_site_fract_z
B1 0.0000 0.0000 0.0000
Er1 0.7500 0.7500 0.7500
Bi1 0.2500 0.2500 0.2500
# Magnetic moment, μB/atom: 0.002
# E_tot, eV per formula unit: -14.186
# Excess energy over the best structure of this formula in the dataset, eV per atom: 0.0000

***

Entry 10:
# ErBiB | OQMD | PBE | relaxed
data_ErBiB
_symmetry_space_group_name_H-M 'P 1'
_symmetry_Int_Tables_number 1
_cell_length_a 4.7950
_cell_length_b 4.7950
_cell_length_c 4.7950
_cell_angle_alpha 60.00
_cell_angle_beta 60.00
_cell_angle_gamma 60.00
loop_
_symmetry_equiv_pos_as_xyz
'x,y,z'
loop_
_atom_site_label
_atom_site_fract_x
_atom_site_fract_y
_atom_site_fract_z
Bi1 0.7500 0.7500 0.7500
Er1 0.0000 0.0000 0.0000
B1 0.2500 0.2500 0.2500
# Magnetic moment, μB/atom: 0.001
# E_tot, eV per formula unit: -12.833
# Excess energy over the best structure of this formula in the dataset, eV per atom: 0.4511

***

Entry 11:
# ErBiB4 | OQMD | PBE | relaxed
data_ErBiB4
_symmetry_space_group_name_H-M 'P 1'
_symmetry_Int_Tables_number 1
_cell_length_a 3.2697
_cell_length_b 3.2697
_cell_length_c 8.0582
_cell_angle_alpha 90.00
_cell_angle_beta 90.00
_cell_angle_gamma 120.00
loop_
_symmetry_equiv_pos_as_xyz
'x,y,z'
loop_
_atom_site_label
_atom_site_fract_x
_atom_site_fract_y
_atom_site_fract_z
B1 0.6667 0.3333 0.2715
B2 0.6667 0.3333 0.7285
B3 0.3333 0.6667 0.2715
B4 0.3333 0.6667 0.7285
Bi1 0.0000 0.0000 0.0000
Er1 0.0000 0.0000 0.5000
# Magnetic moment, μB/atom: 0.001
# E_tot, eV per formula unit: -34.901
# Excess energy over the best structure of this formula in the dataset, eV per atom: 0.0000

***

Entry 12:
# FeBiB2 | OQMD | PBE | relaxed
data_FeBiB2
_symmetry_space_group_name_H-M 'P 1'
_symmetry_Int_Tables_number 1
_cell_length_a 4.3062
_cell_length_b 4.3062
_cell_length_c 4.3062
_cell_angle_alpha 60.00
_cell_angle_beta 60.00
_cell_angle_gamma 60.00
loop_
_symmetry_equiv_pos_as_xyz
'x,y,z'
loop_
_atom_site_label
_atom_site_fract_x
_atom_site_fract_y
_atom_site_fract_z
B1 0.7500 0.7500 0.7500
B2 0.0000 0.0000 0.0000
Bi1 0.5000 0.5000 0.5000
Fe1 0.2500 0.2500 0.2500
# Magnetic moment, μB/atom: 0.430
# E_tot, eV per formula unit: -18.391

***

Entry 13:
# FeBi2B | OQMD | PBE | relaxed
data_FeBi2B
_symmetry_space_group_name_H-M 'P 1'
_symmetry_Int_Tables_number 1
_cell_length_a 4.8230
_cell_length_b 4.8230
_cell_length_c 4.8230
_cell_angle_alpha 60.00
_cell_angle_beta 60.00
_cell_angle_gamma 60.00
loop_
_symmetry_equiv_pos_as_xyz
'x,y,z'
loop_
_atom_site_label
_atom_site_fract_x
_atom_site_fract_y
_atom_site_fract_z
B1 0.5000 0.5000 0.5000
Fe1 0.2500 0.2500 0.2500
Bi1 0.0000 0.0000 0.0000
Bi2 0.7500 0.7500 0.7500
# Magnetic moment, μB/atom: 0.626
# E_tot, eV per formula unit: -17.183

***

Entry 14:
# FeBiB4 | OQMD | PBE | relaxed
data_FeBiB4
_symmetry_space_group_name_H-M 'P 1'
_symmetry_Int_Tables_number 1
_cell_length_a 5.0435
_cell_length_b 5.0435
_cell_length_c 5.0435
_cell_angle_alpha 144.47
_cell_angle_beta 115.24
_cell_angle_gamma 76.10
loop_
_symmetry_equiv_pos_as_xyz
'x,y,z'
loop_
_atom_site_label
_atom_site_fract_x
_atom_site_fract_y
_atom_site_fract_z
B1 0.9043 0.2407 0.6635
B2 0.5772 0.2407 0.3365
B3 0.0957 0.7593 0.3365
B4 0.4228 0.7593 0.6635
Bi1 0.0000 0.0000 0.0000
Fe1 0.5000 0.5000 0.0000
# Magnetic moment, μB/atom: 0.485
# E_tot, eV per formula unit: -35.065
# Excess energy over the best structure of this formula in the dataset, eV per atom: 0.2783

***

Entry 15:
# FeBiB4 | OQMD | PBE | relaxed
data_FeBiB4
_symmetry_space_group_name_H-M 'P 1'
_symmetry_Int_Tables_number 1
_cell_length_a 3.0465
_cell_length_b 3.0465
_cell_length_c 8.3098
_cell_angle_alpha 90.00
_cell_angle_beta 90.00
_cell_angle_gamma 120.00
loop_
_symmetry_equiv_pos_as_xyz
'x,y,z'
loop_
_atom_site_label
_atom_site_fract_x
_atom_site_fract_y
_atom_site_fract_z
B1 0.3333 0.6667 0.6772
B2 0.6667 0.3333 0.3228
B3 0.3333 0.6667 0.3228
B4 0.6667 0.3333 0.6772
Bi1 0.0000 0.0000 0.0000
Fe1 0.0000 0.0000 0.5000
# Magnetic moment, μB/atom: 0.377
# E_tot, eV per formula unit: -36.734
# Excess energy over the best structure of this formula in the dataset, eV per atom: 0.0000

***

Entry 16:
# MgFeBiB | OQMD | PBE | relaxed
data_MgFeBiB
_symmetry_space_group_name_H-M 'P 1'
_symmetry_Int_Tables_number 1
_cell_length_a 4.5932
_cell_length_b 4.5932
_cell_length_c 4.5932
_cell_angle_alpha 60.00
_cell_angle_beta 60.00
_cell_angle_gamma 60.00
loop_
_symmetry_equiv_pos_as_xyz
'x,y,z'
loop_
_atom_site_label
_atom_site_fract_x
_atom_site_fract_y
_atom_site_fract_z
B1 0.5000 0.5000 0.5000
Mg1 0.7500 0.7500 0.7500
Bi1 0.2500 0.2500 0.2500
Fe1 0.0000 0.0000 0.0000
# Magnetic moment, μB/atom: 0.512
# E_tot, eV per formula unit: -16.635
# Excess energy over the best structure of this formula in the dataset, eV per atom: 0.0000

***

Entry 17:
# Hf2BiB | OQMD | PBE | relaxed
data_Hf2BiB
_symmetry_space_group_name_H-M 'P 1'
_symmetry_Int_Tables_number 1
_cell_length_a 3.5182
_cell_length_b 3.5182
_cell_length_c 14.4647
_cell_angle_alpha 90.00
_cell_angle_beta 90.00
_cell_angle_gamma 120.00
loop_
_symmetry_equiv_pos_as_xyz
'x,y,z'
loop_
_atom_site_label
_atom_site_fract_x
_atom_site_fract_y
_atom_site_fract_z
Hf1 0.6667 0.3333 0.5847
Hf2 0.3333 0.6667 0.4153
Hf3 0.3333 0.6667 0.0847
Hf4 0.6667 0.3333 0.9153
B1 0.0000 0.0000 0.5000
B2 0.0000 0.0000 0.0000
Bi1 0.3333 0.6667 0.7500
Bi2 0.6667 0.3333 0.2500
# Magnetic moment, μB/atom: 0.001
# E_tot, eV per formula unit: -32.665

***

Entry 18:
# HfBiB2 | OQMD | PBE | relaxed
data_HfBiB2
_symmetry_space_group_name_H-M 'P 1'
_symmetry_Int_Tables_number 1
_cell_length_a 4.6514
_cell_length_b 4.6514
_cell_length_c 4.6514
_cell_angle_alpha 60.00
_cell_angle_beta 60.00
_cell_angle_gamma 60.00
loop_
_symmetry_equiv_pos_as_xyz
'x,y,z'
loop_
_atom_site_label
_atom_site_fract_x
_atom_site_fract_y
_atom_site_fract_z
Hf1 0.2500 0.2500 0.2500
B1 0.0000 0.0000 0.0000
B2 0.7500 0.7500 0.7500
Bi1 0.5000 0.5000 0.5000
# Magnetic moment, μB/atom: 0.010
# E_tot, eV per formula unit: -20.470

***

Entry 19:
# Hf4HgBiB2 | OQMD | PBE | relaxed
data_Hf4HgBiB2
_symmetry_space_group_name_H-M 'P 1'
_symmetry_Int_Tables_number 1
_cell_length_a 3.4593
_cell_length_b 3.4593
_cell_length_c 14.6851
_cell_angle_alpha 90.00
_cell_angle_beta 90.00
_cell_angle_gamma 120.00
loop_
_symmetry_equiv_pos_as_xyz
'x,y,z'
loop_
_atom_site_label
_atom_site_fract_x
_atom_site_fract_y
_atom_site_fract_z
Hf1 0.3333 0.6667 0.3373
Hf2 0.6667 0.3333 0.8344
Hf3 0.6667 0.3333 0.1656
Hf4 0.3333 0.6667 0.6627
Bi1 0.3333 0.6667 0.0000
B1 0.0000 0.0000 0.2492
B2 0.0000 0.0000 0.7508
Hg1 0.6667 0.3333 0.5000
# Magnetic moment, μB/atom: 0.000
# E_tot, eV per formula unit: -61.000

***

Entry 20:
# HgBiB | OQMD | PBE | relaxed
data_HgBiB
_symmetry_space_group_name_H-M 'P 1'
_symmetry_Int_Tables_number 1
_cell_length_a 4.5134
_cell_length_b 4.5134
_cell_length_c 4.5134
_cell_angle_alpha 60.00
_cell_angle_beta 60.00
_cell_angle_gamma 60.00
loop_
_symmetry_equiv_pos_as_xyz
'x,y,z'
loop_
_atom_site_label
_atom_site_fract_x
_atom_site_fract_y
_atom_site_fract_z
Hg1 0.7500 0.7500 0.7500
B1 0.0000 0.0000 0.0000
Bi1 0.2500 0.2500 0.2500
# E_tot, eV per formula unit: -8.020